First-principles (PBE) data for a relaxed structure of Np3TeP2, as listed in Alexandria.

a = 7.0703 Å, b = 7.0703 Å, c = 9.4304 Å
α = 90.00°, β = 90.00°, γ = 142.17°
Closest atoms and distances in Å follow each position.
Sites, in units of the cell vectors:
Np 0.1047 0.8953 0.7500  4 P 2.62-2.74
Np 0.3783 0.6217 0.5349  3 P 2.69-2.83
Np 0.3783 0.6217 0.9651  3 P 2.69-2.83
Np 0.6217 0.3783 0.0349  3 P 2.69-2.83
Np 0.6217 0.3783 0.4651  3 P 2.69-2.83
Np 0.8953 0.1047 0.2500  4 P 2.62-2.74
Te 0.2225 0.7775 0.2500  8 Np 3.26-3.40, 1 P 3.57
Te 0.7775 0.2225 0.7500  8 Np 3.26-3.40, 1 P 3.57
P 0.0000 0.0000 0.0000  6 Np 2.74-2.83
P 0.0000 0.0000 0.5000  6 Np 2.74-2.83
P 0.4894 0.5106 0.2500  4 Np 2.62-2.69
P 0.5106 0.4894 0.7500  4 Np 2.62-2.69

Formation energy from raw total energies, eV/atom: -0.534
SG: Cmcm, No. 63